KZnAs2: optimized geometry, PBE.

energy of formation	-191	meV/atom

```
KZnAs2
1.0
5.0346 0.0260 0.0144
2.8069 4.1796 0.0144
1.2930 0.6935 5.7336
As K Zn
2 1 1
direct
0.4848 0.4848 0.3648
0.0152 0.0152 0.1352
0.7500 0.7500 0.7500
0.2500 0.2500 0.2500
```

***

KZn2As: optimized geometry, PBE.

energy of formation	93	meV/atom

```
KZn2As
1.0
4.8332 -0.0171 -0.0256
3.9083 2.8435 -0.0256
0.6067 0.1962 6.8317
Zn As K
2 1 1
direct
0.4915 0.4915 0.5741
0.0085 0.0085 0.9259
0.7500 0.7500 0.7500
0.2500 0.2500 0.2500
```